# 1
The following is a DFT calculation (PBE) of crystalline Mn2HgSe4 at its relaxed geometry.

```
data_Mn2HgSe4
_chemical_formula_sum 'Mn8 Hg4 Se16'
_cell_length_a 7.7972
_cell_length_b 7.7972
_cell_length_c 10.9508
_cell_angle_alpha 90.00
_cell_angle_beta 90.00
_cell_angle_gamma 90.00
_symmetry_space_group_name_H-M 'I 41/a m d'
_symmetry_Int_Tables_number 141
loop_
_symmetry_equiv_pos_as_xyz
'x,y,z'
'-x,-y,-z'
'-y+1/4,x+3/4,z+1/4'
'y+1/4,-x+3/4,-z+1/4'
'-x+1/2,-y,z+1/2'
'x+1/2,y,-z+1/2'
'y+1/4,-x+1/4,z+3/4'
'-y+1/4,x+1/4,-z+3/4'
'x,-y,-z'
'-x,y,z'
'-y+1/4,-x+1/4,-z+3/4'
'y+1/4,x+1/4,z+3/4'
'-x+1/2,y,-z+1/2'
'x+1/2,-y,z+1/2'
'y+1/4,x+3/4,-z+1/4'
'-y+1/4,-x+3/4,z+1/4'
'x+1/2,y+1/2,z+1/2'
'-x+1/2,-y+1/2,-z+1/2'
'-y+3/4,x+1/4,z+3/4'
'y+3/4,-x+1/4,-z+3/4'
'-x,-y+1/2,z'
'x,y+1/2,-z'
'y+3/4,-x+3/4,z+1/4'
'-y+3/4,x+3/4,-z+1/4'
'x+1/2,-y+1/2,-z+1/2'
'-x+1/2,y+1/2,z+1/2'
'-y+3/4,-x+3/4,-z+1/4'
'y+3/4,x+3/4,z+1/4'
'-x,y+1/2,-z'
'x,-y+1/2,z'
'y+3/4,x+1/4,-z+3/4'
'-y+3/4,-x+1/4,z+3/4'
loop_
_atom_site_label
_atom_site_type_symbol
_atom_site_fract_x
_atom_site_fract_y
_atom_site_fract_z
Mn1 Mn 0.0000 0.0000 0.0000
Hg1 Hg 0.0000 0.2500 0.3750
Se1 Se 0.0000 0.0317 0.7650
```

Output
As for the formation energy from raw total energies: -0.3591 eV/atom. The value obtained for the total magnetization is 31.502 Bohr magnetons per cell.


# 2
The following is a DFT calculation (PBE) of crystalline ZrTa2Hg at its relaxed geometry.

```
data_ZrTa2Hg
_chemical_formula_sum 'Zr3 Ta6 Hg3'
_cell_length_a 3.1034
_cell_length_b 3.1034
_cell_length_c 29.3758
_cell_angle_alpha 90.00
_cell_angle_beta 90.00
_cell_angle_gamma 120.00
_symmetry_space_group_name_H-M 'R -3 m'
_symmetry_Int_Tables_number 166
_symmetry_space_group_name_Hall '-R 3 2"'
loop_
_atom_site_label
_atom_site_type_symbol
_atom_site_fract_x
_atom_site_fract_y
_atom_site_fract_z
Zr1 Zr 0.0000 0.0000 0.0000
Ta1 Ta 0.0000 0.0000 0.2497
Hg1 Hg 0.0000 0.0000 0.5000
```

Output
The formation energy comes out at 0.32 eV/atom. The value obtained for the total magnetization is 0.000 Bohr magnetons per cell.


# 3
The following is a DFT calculation (PBE) of crystalline PmNd3Rh at its relaxed geometry.

```
data_PmNd3Rh
_chemical_formula_sum 'Pm1 Nd3 Rh1'
_cell_length_a 5.5938
_cell_length_b 5.5938
_cell_length_c 5.5938
_cell_angle_alpha 90.00
_cell_angle_beta 90.00
_cell_angle_gamma 90.00
_symmetry_space_group_name_H-M 'P m -3 m'
_symmetry_Int_Tables_number 221
_symmetry_space_group_name_Hall '-P 4 2 3'
loop_
_atom_site_label
_atom_site_type_symbol
_atom_site_fract_x
_atom_site_fract_y
_atom_site_fract_z
Pm1 Pm 0.0000 0.0000 0.0000
Nd1 Nd 0.0000 0.5000 0.5000
Rh1 Rh 0.5000 0.5000 0.5000
```

Output
For the polymorph energy (0 for the lowest one), the calculation gives 136 meV per atom. The formation energy comes out at -0.13 eV/atom. The value obtained for the total magnetization is 1.360 Bohr magnetons per cell.